Record 1
First-principles (GGA-PBE) data for a geometry-optimized PmIF3 structure, as listed in Alexandria.

Calculated values
Formation energy (no corrections) (eV per atom): -2.82
Symmetry: P2_1/m

Geometry as POSCAR:
```
PmIF3
1.0
-3.153 5.904 0.583
-3.908 3.522 -4.168
-5.562 -3.217 2.496
F Pm I
6 2 2
Direct
0.541 0.222 0.302
0.022 0.222 0.552
0.020 0.744 0.302
0.020 0.744 0.802
0.538 0.743 0.053
0.541 0.222 0.802
0.721 0.922 0.052
0.840 0.044 0.552
0.023 0.227 0.053
0.538 0.738 0.553
```

=====

Record 2
First-principles (GGA-PBE) data for a geometry-optimized PmIF2 structure, as listed in Alexandria.

Calculated values
Formation energy (no corrections) (eV per atom): -3.07
Relative energy among the computed polymorphs (kJ per mole of atoms): 7.2
Symmetry: Pnma

Geometry as POSCAR:
```
PmIF2
1.0
6.215 0.000 0.000
0.000 7.264 0.000
0.000 0.000 16.057
F I Pm
16 8 8
Direct
0.654 0.574 0.538
0.454 0.547 0.319
0.046 0.953 0.819
0.454 0.953 0.319
0.654 0.926 0.538
0.546 0.047 0.681
0.954 0.453 0.181
0.346 0.074 0.462
0.546 0.453 0.681
0.154 0.426 0.962
0.046 0.547 0.819
0.154 0.074 0.962
0.346 0.426 0.462
0.954 0.047 0.181
0.846 0.926 0.038
0.846 0.574 0.038
0.166 0.750 0.601
0.462 0.250 0.146
0.038 0.250 0.646
0.538 0.750 0.854
0.666 0.250 0.899
0.834 0.250 0.399
0.962 0.750 0.354
0.334 0.750 0.101
0.964 0.250 0.070
0.464 0.750 0.430
0.536 0.250 0.570
0.662 0.750 0.659
0.338 0.250 0.341
0.036 0.750 0.930
0.162 0.250 0.841
0.838 0.750 0.159
```

=====

Record 3
First-principles (GGA-PBE) data for a geometry-optimized PmIF2 structure, as listed in Alexandria.

Calculated values
Formation energy (no corrections) (eV per atom): -2.58
Relative energy among the computed polymorphs (kJ per mole of atoms): 54.1
Symmetry: R-3m

Geometry as POSCAR:
```
PmIF2
1.0
-0.601 2.906 4.429
3.030 -0.995 4.272
3.209 2.917 1.730
F I Pm
2 1 1
Direct
0.792 0.792 0.625
0.208 0.208 0.375
0.500 0.500 0.500
0.000 0.000 0.000
```

=====

Record 4
First-principles (GGA-PBE) data for a geometry-optimized PmI2F structure, as listed in Alexandria.

Calculated values
Formation energy (no corrections) (eV per atom): -2.32
Relative energy among the computed polymorphs (kJ per mole of atoms): 0.0
Symmetry: Cm

Geometry as POSCAR:
```
PmI2F
1.0
4.110 0.002 0.928
1.948 3.619 0.928
0.084 0.050 8.834
I Pm F
2 1 1
Direct
0.042 0.042 0.883
0.208 0.208 0.367
0.458 0.458 0.625
0.792 0.792 0.625
```